[1]
Entry from the Alexandria database: crystalline Dy2SI at its relaxed geometry (PBE-GGA).

D(E_F): 0.60 states/eV/atom
Offset from the most stable computed form: 8 meV per atom

Cell: 8.0846 8.0846 8.0846 Å, 27.92 27.92 27.92°
Closest atoms and distances in Å follow each position.
Positions (direct):
Dy 0.2293 0.2293 0.2293  3 S 2.68
Dy 0.7707 0.7707 0.7707  3 S 2.68
S 0.5000 0.5000 0.5000  6 Dy 2.68
I 0.0000 0.0000 0.0000  6 Dy 3.31



[2]
Entry from the Alexandria database: crystalline Dy4S5I at its relaxed geometry (PBE-GGA).

D(E_F): 0.10 states/eV/atom

Cell: 8.2157 10.4612 6.7336 Å, 90.00 90.00 90.00°
Closest atoms and distances in Å follow each position.
Positions (direct):
Dy 0.0278 0.2500 0.0158  3 S 2.59-2.71
Dy 0.2500 0.0318 0.5056  5 S 2.69-2.73
Dy 0.2500 0.4682 0.5056  5 S 2.69-2.73
Dy 0.4722 0.2500 0.0158  3 S 2.59-2.71
Dy 0.5278 0.7500 0.9842  3 S 2.59-2.71
Dy 0.7500 0.5318 0.4944  5 S 2.69-2.73
Dy 0.7500 0.9682 0.4944  5 S 2.69-2.73
Dy 0.9722 0.7500 0.9842  3 S 2.59-2.71
S 0.0078 0.5588 0.7444  3 Dy 2.59-2.73
S 0.0078 0.9412 0.7444  3 Dy 2.59-2.73
S 0.2500 0.2500 0.7183  4 Dy 2.69-2.71
S 0.4922 0.5588 0.7444  3 Dy 2.59-2.73
S 0.4922 0.9412 0.7444  3 Dy 2.59-2.73
S 0.5078 0.0588 0.2556  3 Dy 2.59-2.73
S 0.5078 0.4412 0.2556  3 Dy 2.59-2.73
S 0.7500 0.7500 0.2817  4 Dy 2.69-2.71
S 0.9922 0.0588 0.2556  3 Dy 2.59-2.73
S 0.9922 0.4412 0.2556  3 Dy 2.59-2.73
I 0.2500 0.7500 0.3015  4 Dy 3.13-3.25
I 0.7500 0.2500 0.6985  4 Dy 3.13-3.25



[3]
Entry from the Alexandria database: crystalline Dy2SI at its relaxed geometry (PBE-GGA).

D(E_F): 0.74 states/eV/atom
Offset from the most stable computed form: 0 meV per atom

Cell: 8.0556 8.0556 8.0556 Å, 27.93 27.93 27.93°
Closest atoms and distances in Å follow each position.
Positions (direct):
Dy 0.0000 0.0000 0.0000  3 S 2.71
Dy 0.2032 0.2032 0.2032  3 S 2.70
S 0.6013 0.6013 0.6013  6 Dy 2.70-2.71
I 0.4333 0.4333 0.4333  6 Dy 3.23-3.28



[4]
Entry from the Alexandria database: crystalline Dy3SI7 at its relaxed geometry (PBE-GGA).

D(E_F): 0.00 states/eV/atom

Cell: 8.6219 8.6219 7.7231 Å, 90.00 90.00 120.00°
Closest atoms and distances in Å follow each position.
Positions (direct):
Dy 0.0200 0.5100 0.0000  1 S 2.64
Dy 0.4900 0.5100 0.0000  1 S 2.64
Dy 0.4900 0.9800 0.0000  1 S 2.64
S 0.3333 0.6667 0.1595  3 Dy 2.64
I 0.1671 0.3342 0.7597  2 Dy 3.04
I 0.1671 0.8329 0.7597  2 Dy 3.04
I 0.3378 0.1689 0.2176  2 Dy 3.06
I 0.6658 0.8329 0.7597  2 Dy 3.04
I 0.6667 0.3333 0.7644  3 Dy 3.21
I 0.8311 0.1689 0.2176  2 Dy 3.06
I 0.8311 0.6622 0.2176  2 Dy 3.06



[5]
Entry from the Alexandria database: crystalline DyS6I2 at its relaxed geometry (PBE-GGA).

D(E_F): 0.23 states/eV/atom

Cell: 4.3980 8.9629 9.0262 Å, 117.57 92.53 92.93°
Closest atoms and distances in Å follow each position.
Positions (direct):
Dy 0.0000 0.0000 0.0000  2 S 2.76, 4 I 3.04-3.08
S 0.0834 0.5137 0.7300  2 S 1.98-2.08
S 0.0944 0.7019 0.4586  1 S 1.98
S 0.1301 0.2959 0.2948  1 S 2.08
S 0.8699 0.7041 0.7052  1 S 2.08
S 0.9056 0.2981 0.5414  1 S 1.98
S 0.9166 0.4863 0.2700  2 S 1.98-2.08
I 0.4944 0.8725 0.1482  2 Dy 3.04-3.08
I 0.5056 0.1275 0.8518  2 Dy 3.04-3.08



[6]
Entry from the Alexandria database: crystalline Dy2SbI3 at its relaxed geometry (PBE-GGA).

Cell: 9.7290 9.7290 13.7923 Å, 124.78 124.78 26.84°
Closest atoms and distances in Å follow each position.
Positions (direct):
Dy 0.1044 0.1044 0.4487  2 Sb 3.08, 4 I 3.13-3.23
Dy 0.3657 0.3657 0.1719  2 Sb 2.98, 4 I 3.06-3.27
Dy 0.6343 0.6343 0.8281  2 Sb 2.98, 4 I 3.06-3.27
Dy 0.8956 0.8956 0.5513  2 Sb 3.08, 4 I 3.13-3.23
Sb 0.0919 0.0919 0.6613  4 Dy 2.98-3.08
Sb 0.9081 0.9081 0.3387  4 Dy 2.98-3.08
I 0.1632 0.1632 0.0200  3 Dy 3.11-3.27
I 0.2618 0.2618 0.3940  3 Dy 3.13-3.48
I 0.4457 0.4457 0.7496  3 Dy 3.06-3.23
I 0.5543 0.5543 0.2504  3 Dy 3.06-3.23
I 0.7382 0.7382 0.6060  3 Dy 3.13-3.48
I 0.8368 0.8368 0.9800  3 Dy 3.11-3.27



Listing DFT total energy for the structures above in their given order: -5.048, -5.773, -5.056, -4.103, -4.019, -4.139 eV per atom.
Listing ΔE_f (raw) for the structures above in their given order: -1327, -1713, -1335, -1486, -412, -1143 meV/atom.